No. 1
VASP calculation (PBE) on crystalline CdCu2As at its relaxed geometry.

abc: 4.077 4.077 3.851
angles: 90.00 90.00 90.00
Fractional coordinates of all 4 atoms:
Cd: 0.000 0.000 0.000
Cu: 0.000 0.500 0.500
Cu: 0.500 0.000 0.500
As: 0.500 0.500 0.000

Values from the calculation:
D(E_F) = 1.7 states/eV/cell
electronic total energy = -3.2957 eV per atom
V = 16.0 Å³ per atom
polymorph energy (0 for the lowest one) = 31 meV/atom
space group = P4/mmm
energy of formation from the pure elements = 55 kJ/mol of formula units
total magnetic moment = 0.000 μB/cell

No. 2
VASP calculation (PBE) on crystalline TbU2Mn9 at its relaxed geometry.

abc: 8.290 8.290 5.077
angles: 90.00 90.00 90.00
Fractional coordinates of all 24 atoms:
Tb: 0.000 0.000 0.000
Tb: 0.500 0.500 0.000
U: 0.111 0.389 0.000
U: 0.389 0.889 0.000
U: 0.611 0.111 0.000
U: 0.889 0.611 0.000
Mn: 0.000 0.500 0.500
Mn: 0.069 0.208 0.500
Mn: 0.184 0.684 0.248
Mn: 0.184 0.684 0.752
Mn: 0.208 0.931 0.500
Mn: 0.292 0.431 0.500
Mn: 0.316 0.184 0.248
Mn: 0.316 0.184 0.752
Mn: 0.431 0.708 0.500
Mn: 0.500 0.000 0.500
Mn: 0.569 0.292 0.500
Mn: 0.684 0.816 0.248
Mn: 0.684 0.816 0.752
Mn: 0.708 0.569 0.500
Mn: 0.792 0.069 0.500
Mn: 0.816 0.316 0.248
Mn: 0.816 0.316 0.752
Mn: 0.931 0.792 0.500

Values from the calculation:
D(E_F) = 34.9 states/eV/cell
electronic total energy = -9.0868 eV per atom
V = 14.5 Å³ per atom
space group = P4/mbm
energy of formation from the pure elements = 67 kJ/mol of formula units
total magnetic moment = 8.369 μB/cell

No. 3
VASP calculation (PBE) on crystalline Cd6As2PI2 at its relaxed geometry.

abc: 7.282 7.282 9.027
angles: 121.51 121.51 58.34
Fractional coordinates of all 11 atoms:
Cd: 0.096 0.680 0.673
Cd: 0.236 0.236 0.105
Cd: 0.320 0.904 0.327
Cd: 0.680 0.096 0.673
Cd: 0.764 0.764 0.895
Cd: 0.904 0.320 0.327
As: 0.488 0.488 0.357
As: 0.512 0.512 0.643
P: 0.000 0.000 0.000
I: 0.225 0.225 0.770
I: 0.775 0.775 0.230

Values from the calculation:
D(E_F) = 3.5 states/eV/cell
electronic total energy = -2.1845 eV per atom
V = 29.7 Å³ per atom
space group = C2/m
formation energy without anion corrections = -0.0663 eV/atom
total magnetic moment = 0.000 μB/cell

No. 4
VASP calculation (PBE) on crystalline Tl7SnS6 at its relaxed geometry.

abc: 11.765 11.765 11.765
angles: 142.75 110.72 81.39
Fractional coordinates of all 28 atoms:
Tl: 0.032 0.258 0.290
Tl: 0.090 0.564 0.876
Tl: 0.187 0.064 0.474
Tl: 0.250 0.250 0.000
Tl: 0.313 0.787 0.876
Tl: 0.410 0.287 0.474
Tl: 0.468 0.758 0.226
Tl: 0.532 0.242 0.774
Tl: 0.590 0.713 0.526
Tl: 0.687 0.213 0.124
Tl: 0.750 0.750 0.000
Tl: 0.813 0.936 0.526
Tl: 0.910 0.436 0.124
Tl: 0.968 0.742 0.710
Sn: 0.250 0.750 0.500
Sn: 0.750 0.250 0.500
S: 0.074 0.871 0.601
S: 0.177 0.979 0.156
S: 0.230 0.629 0.202
S: 0.270 0.473 0.399
S: 0.323 0.479 0.802
S: 0.426 0.027 0.798
S: 0.574 0.973 0.202
S: 0.677 0.521 0.198
S: 0.730 0.527 0.601
S: 0.770 0.371 0.798
S: 0.823 0.021 0.844
S: 0.926 0.129 0.399

Values from the calculation:
D(E_F) = 10.7 states/eV/cell
electronic total energy = -3.5365 eV per atom
V = 32.0 Å³ per atom
space group = Ibam
formation energy without anion corrections = -0.2985 eV/atom
total magnetic moment = 0.000 μB/cell

What did the third record say?
VASP calculation (PBE) on crystalline Cd6As2PI2 at its relaxed geometry.

abc: 7.282 7.282 9.027
angles: 121.51 121.51 58.34
Fractional coordinates of all 11 atoms:
Cd: 0.096 0.680 0.673
Cd: 0.236 0.236 0.105
Cd: 0.320 0.904 0.327
Cd: 0.680 0.096 0.673
Cd: 0.764 0.764 0.895
Cd: 0.904 0.320 0.327
As: 0.488 0.488 0.357
As: 0.512 0.512 0.643
P: 0.000 0.000 0.000
I: 0.225 0.225 0.770
I: 0.775 0.775 0.230

Values from the calculation:
D(E_F) = 3.5 states/eV/cell
electronic total energy = -2.1845 eV per atom
V = 29.7 Å³ per atom
space group = C2/m
formation energy without anion corrections = -0.0663 eV/atom
total magnetic moment = 0.000 μB/cell